Computed, not measured: crystalline Rb2Tl4SnHg3 at its relaxed geometry at the PBE level of DFT.

Output
DFT formation energy	-1.1	eV per formula unit
DOS(E_F)	0.546	states/eV/atom

abc: 5.2720 5.2720 12.7585
angles: 90.00 90.00 90.00
Fractional coordinates of all 10 atoms:
Tl 0.5000 0.5000 0.0000
Tl 0.0000 0.5000 0.3712
Tl 0.0000 0.0000 0.0000
Tl 0.5000 0.0000 0.6288
Sn 0.5000 0.5000 0.5000
Hg 0.5000 0.0000 0.8669
Hg 0.0000 0.0000 0.5000
Hg 0.0000 0.5000 0.1331
Rb 0.5000 0.0000 0.2545
Rb 0.0000 0.5000 0.7455